# KMoSe2O8 | the Alexandria database | PBE with a Hubbard U | optimized geometry
data_KMoSe2O8
_cell_length_a 5.4796
_cell_length_b 5.4796
_cell_length_c 22.1654
_cell_angle_alpha 90.00
_cell_angle_beta 90.00
_cell_angle_gamma 120.00
_symmetry_space_group_name_H-M 'R -3'
_symmetry_Int_Tables_number 148
_symmetry_space_group_name_Hall '-R 3'
loop_
_atom_site_label
_atom_site_type_symbol
_atom_site_fract_x
_atom_site_fract_y
_atom_site_fract_z
_atom_site_occupancy
K1 K 0.0000 0.0000 0.0000 1
Mo1 Mo 0.0000 0.0000 0.5000 1
Se1 Se 0.0000 0.0000 0.2289 1
O1 O 0.0000 0.0000 0.3027 1
O2 O 0.0095 0.2974 0.4496 1
# - density of states at the Fermi level (states/eV/atom) = 0.457
# - crystal system = trigonal
# - VASP energy (eV/atom) = -5.55